ScSi3Ag: PBEsol geometry, SCAN.

Calculated values
- Density of states at the Fermi level: 2.20 states/eV/cell
- Formation energy without anion corrections: 5.7 eV per formula unit

a b c (Å): 4.9074 4.9074 4.9074
angles (deg): 90.00 90.00 90.00
Closest atoms and distances in Å follow each position.
Space group Pm-3m (No. 221)
Symmetry-distinct sites (fractional):
1 Sc 0.0000 0.0000 0.0000 [1 per cell]  6 Si 2.45
2 Si 0.0000 0.0000 0.5000 [3 per cell]  2 Sc 2.45
3 Ag 0.5000 0.5000 0.5000 [1 per cell]  12 Si 3.47